Entry 1:
Entry from Alexandria via LeMat-Bulk: a relaxed structure of Fe4NiPt2 (PBE).

Properties
As for the symmetry: I4/mmm. Its formation energy from the elements is 0.239 eV/f.u. The magnetization comes out at 12.976 Bohr magnetons per cell. The total DFT energy (no corrections) is -51.475 eV for the cell shown.

Cell and atoms, written as extended XYZ:
```
7
Lattice="-2.592 2.592 3.713 2.592 -2.592 3.713 2.592 2.592 -3.713" Properties=species:S:1:pos:R:3 pbc="T T T"
Fe 1.296 1.296 -1.857
Fe 1.296 -1.296 1.857
Fe -1.296 1.296 1.857
Fe 1.296 1.296 1.857
Ni 0.000 0.000 0.000
Pt 2.592 0.000 0.000
Pt 0.000 2.592 0.000
```


Entry 2:
Entry from Alexandria via LeMat-Bulk: a relaxed structure of Fe2Ni4Pt (PBE).

Properties
As for the symmetry: I4/mmm. The value obtained for the distance to the lowest polymorph of the same formula is 26 meV/atom. Its formation energy from the elements is 1.202 eV/f.u. The magnetization comes out at 9.032 Bohr magnetons per cell. The total DFT energy (no corrections) is -44.890 eV for the cell shown.

Cell and atoms, written as extended XYZ:
```
7
Lattice="-1.616 1.616 8.554 1.616 -1.616 8.554 1.616 1.616 -8.554" Properties=species:S:1:pos:R:3 pbc="T T T"
Fe 0.000 0.000 1.514
Fe 0.000 0.000 15.593
Ni 1.616 0.000 4.277
Ni 0.000 0.000 6.052
Ni 0.000 0.000 11.055
Ni 0.000 1.616 4.277
Pt 0.000 0.000 8.554
```


Entry 3:
Entry from Alexandria via LeMat-Bulk: a relaxed structure of FeNiPt (PBE).

Properties
As for the symmetry: Imm2. The value obtained for the distance to the lowest polymorph of the same formula is 0 meV/atom. Its formation energy from the elements is -0.533 eV/f.u. The magnetization comes out at 3.801 Bohr magnetons per cell. The total DFT energy (no corrections) is -20.818 eV for the cell shown.

Cell and atoms, written as extended XYZ:
```
3
Lattice="-1.345 1.807 4.017 1.345 -1.807 4.017 1.345 1.807 -4.017" Properties=species:S:1:pos:R:3 pbc="T T T"
Fe 0.000 0.000 0.000
Ni 0.000 0.000 5.271
Pt 0.000 0.000 2.636
```